Entry 1:
Material: La3Pm2Sm6In
Method: DFT, GGA-PBE
State: optimized geometry Values from VASP.

```
&SYSTEM
  ibrav = 0, nat = 12, ntyp = 4
/
ATOMIC_SPECIES
La 138.91 La.upf
Pm 145.00 Pm.upf
Sm 150.36 Sm.upf
In 114.82 In.upf
CELL_PARAMETERS angstrom
3.122 -5.418 0.000
3.122 5.418 0.000
-2.111 0.000 11.808
ATOMIC_POSITIONS angstrom
La 0.000 0.000 0.000
La 3.122 1.846 0.000
La 3.122 -1.846 0.000
Pm 2.066 3.619 5.904
Pm 2.066 -3.619 5.904
Sm 1.062 1.761 3.027
Sm 0.024 0.000 8.803
Sm 1.062 -1.761 3.027
Sm 3.070 1.761 8.780
Sm 4.108 0.000 3.004
Sm 3.070 -1.761 8.780
In 2.066 0.000 5.904
```

Energy relative to the elements (eV per atom): -0.0481
Fermi-level density of states (states/eV/cell): 16.07
Spin magnetization (μB/cell): 0.00

Entry 2:
Material: NiSnBr3
Method: DFT, GGA-PBE
State: optimized geometry Values from VASP.

```
&SYSTEM
  ibrav = 0, nat = 5, ntyp = 3
/
ATOMIC_SPECIES
Ni 58.69 Ni.upf
Sn 118.71 Sn.upf
Br 79.90 Br.upf
CELL_PARAMETERS angstrom
5.687 0.000 0.000
0.000 5.687 0.000
0.000 0.000 5.687
ATOMIC_POSITIONS angstrom
Ni 0.000 0.000 0.000
Sn 2.844 2.844 2.844
Br 0.000 2.844 2.844
Br 2.844 0.000 2.844
Br 2.844 2.844 0.000
```

ΔE_f (raw) (meV per atom): 283
Fermi-level density of states (states/eV/cell): 75.16
Energy above the lowest structure with this stoichiometry (meV/atom): 491
Spin magnetization (μB/cell): 1.06

Entry 3:
Material: KPaPb2S5
Method: DFT, GGA-PBE
State: optimized geometry Values from VASP.

```
&SYSTEM
  ibrav = 0, nat = 9, ntyp = 4
/
ATOMIC_SPECIES
K 39.10 K.upf
Pa 231.04 Pa.upf
Pb 207.20 Pb.upf
S 32.06 S.upf
CELL_PARAMETERS angstrom
-2.589 3.683 7.110
2.589 -3.683 7.110
2.589 3.683 -7.110
ATOMIC_POSITIONS angstrom
K 0.000 0.000 0.000
Pa 0.000 0.000 7.110
Pb 2.589 0.000 4.066
Pb 0.000 3.683 3.044
S 2.589 1.907 -1.936
S 2.589 1.907 1.936
S 0.000 3.683 0.000
S 0.000 1.776 5.174
S 0.000 1.776 9.046
```

ΔE_f (raw) (meV per atom): -1012
Spin magnetization (μB/cell): 0.00